KFe2Ag2: optimized geometry, PBE.

Results
Total energy   -4.1774 eV/atom
Energy above the lowest structure with this stoichiometry   18 meV/atom

a = 3.4132 Å, b = 3.4132 Å, c = 18.8083 Å
α = 90.00°, β = 90.00°, γ = 90.00°
Last column: nearest neighbours and their distance in Å.
Space group I4/mmm (No. 139)
Symmetry-distinct sites (fractional):
K: 0.0000 0.0000 0.0000 x2  4 K 3.41, 8 Ag 3.52
Fe: 0.0000 0.5000 0.2500 x4  4 Fe 2.41
Ag: 0.0000 0.0000 0.3637 x4  4 Fe 2.74


Rb2PaReO8: optimized geometry, PBE.

Results
E_form (uncorrected)   -182 kJ per mole of atoms
Total energy   -7.1822 eV/atom

a = 5.9001 Å, b = 5.9658 Å, c = 6.7671 Å
α = 89.89°, β = 89.89°, γ = 88.57°
Last column: nearest neighbours and their distance in Å.
Space group P-1 (No. 2)
Symmetry-distinct sites (fractional):
Rb: 0.0003 0.0003 0.2436 x2  6 O 2.82-2.96
Pa: 0.5000 0.5000 0.5000 x1  2 O 1.92
Re: 0.5000 0.5000 0.0000 x1  6 O 1.84-1.93
O: 0.2716 0.7338 0.5000 x2  1 Pa 1.92
O: 0.2809 0.7242 0.0000 x2  1 Re 1.84
O: 0.3443 0.3509 0.2124 x2  1 Re 1.93
O: 0.3442 0.3509 0.7887 x2  1 Re 1.93


KScTi: optimized geometry, PBE.

Results
Total energy   -3.7175 eV/atom
Energy above the lowest structure with this stoichiometry   1153 meV/atom

a = 7.5953 Å, b = 7.5953 Å, c = 7.5953 Å
α = 90.00°, β = 90.00°, γ = 90.00°
Last column: nearest neighbours and their distance in Å.
Space group F-43m (No. 216)
Symmetry-distinct sites (fractional):
K: 0.0000 0.0000 0.0000 x4  4 Ti 3.29
Sc: 0.0000 0.0000 0.5000 x4  4 Ti 3.29
Ti: 0.2500 0.2500 0.7500 x4  4 K 3.29, 4 Sc 3.29


Ga2Sn2Se5: optimized geometry, PBE.

Results
E_form (uncorrected)   -42 kJ per mole of atoms
Total energy   -3.9369 eV/atom

a = 15.2109 Å, b = 4.0653 Å, c = 10.1149 Å
α = 90.00°, β = 117.87°, γ = 90.00°
Last column: nearest neighbours and their distance in Å.
Space group C2/m (No. 12)
Symmetry-distinct sites (fractional):
Ga: 0.2177 0.0000 0.1017 x4  4 Se 2.35-2.55
Sn: 0.0909 0.5000 0.4046 x4  5 Se 2.84-3.13
Se: 0.0000 0.0000 0.5000 x2  4 Sn 2.87
Se: 0.1327 0.5000 0.9402 x4  3 Ga 2.50-2.55
Se: 0.2208 0.0000 0.3365 x4  1 Ga 2.35


Ca2MnCd: optimized geometry, PBE.

Results
Total energy   -3.2170 eV/atom

a = 3.7260 Å, b = 3.7260 Å, c = 28.9532 Å
α = 90.00°, β = 90.00°, γ = 120.00°
Last column: nearest neighbours and their distance in Å.
Space group R-3m (No. 166, hexagonal axes)
Symmetry-distinct sites (fractional):
Ca: 0.0000 0.0000 0.2468 x6  3 Mn 3.16, 3 Cd 3.30
Mn: 0.0000 0.0000 0.5000 x3  6 Ca 3.16
Cd: 0.0000 0.0000 0.0000 x3  6 Ca 3.30


Ag3BiPt: optimized geometry, PBE.

Results
Total energy   -3.0611 eV/atom
Energy above the lowest structure with this stoichiometry   0 meV/atom

a = 5.0798 Å, b = 5.0798 Å, c = 5.0798 Å
α = 90.00°, β = 90.00°, γ = 90.00°
Last column: nearest neighbours and their distance in Å.
Space group Pm-3m (No. 221)
Symmetry-distinct sites (fractional):
Ag: 0.0000 0.0000 0.5000 x3  2 Pt 2.54
Bi: 0.5000 0.5000 0.5000 x1  12 Ag 3.59
Pt: 0.0000 0.0000 0.0000 x1  6 Ag 2.54


| no. | theoretical density (g/cm3) |
| --- | --- |
| 1 | 5.6 |
| 2 | 5.0 |
| 3 | 2.0 |
| 4 | 4.6 |
| 5 | 3.5 |
| 6 | 9.2 |